Compound: Ta2AlRu
Source: Alexandria via LeMat-Bulk
Functional: GGA-PBEsol
Structure: relaxed

E_form	-0.1754	eV/atom
SG	No. 139

```
Ta2AlRu
1.0
-1.922 1.922 4.254
1.922 -1.922 4.254
1.922 1.922 -4.254
Ta Al Ru
2 1 1
Cartesian
1.922 0.000 2.127
0.000 1.922 2.127
0.000 0.000 0.000
0.000 0.000 4.254
```